(1)
A relaxed CdSnRh crystal. Source: the Alexandria database, functional PBE.

POSCAR file:
```
CdSnRh
1.0
4.916 -1.797 0.000
4.916 1.797 0.000
-3.188 0.000 6.839
Cd Sn Rh
2 2 2
direct
0.000 0.000 0.000 Cd
0.540 0.540 0.711 Cd
0.220 0.220 0.573 Sn
0.802 0.802 0.243 Sn
0.267 0.267 0.954 Rh
0.542 0.542 0.320 Rh
```

The calculation puts the density of states at the Fermi level at 0.4398 states/eV/atom. The energy relative to the elements comes out at -0.235 eV/atom.

=====

(2)
A relaxed CdSn3Rh crystal. Source: the Alexandria database, functional PBE.

POSCAR file:
```
CdSn3Rh
1.0
5.171 0.000 0.000
0.000 5.171 0.000
0.000 0.000 5.171
Cd Sn Rh
1 3 1
direct
0.000 0.000 0.000 Cd
0.000 0.500 0.500 Sn
0.500 0.000 0.500 Sn
0.500 0.500 0.000 Sn
0.500 0.500 0.500 Rh
```

The calculation puts the density of states at the Fermi level at 0.6592 states/eV/atom. The energy relative to the elements comes out at 0.027 eV/atom.

=====

(3)
A relaxed CdSnRh2 crystal. Source: the Alexandria database, functional PBE.

POSCAR file:
```
CdSnRh2
1.0
4.432 0.000 0.000
0.000 4.432 0.000
0.000 0.000 3.439
Cd Sn Rh
1 1 2
direct
0.000 0.000 0.000 Cd
0.500 0.500 0.000 Sn
0.000 0.500 0.500 Rh
0.500 0.000 0.500 Rh
```

The calculation puts the density of states at the Fermi level at 0.2913 states/eV/atom. The energy relative to the elements comes out at -0.329 eV/atom.

=====

(4)
A relaxed CdSnRh2 crystal. Source: the Alexandria database, functional PBE.

POSCAR file:
```
CdSnRh2
1.0
3.226 0.000 0.000
0.000 3.226 0.000
0.000 0.000 6.525
Cd Sn Rh
1 1 2
direct
0.000 0.000 0.000 Cd
0.000 0.000 0.500 Sn
0.500 0.500 0.267 Rh
0.500 0.500 0.733 Rh
```

The calculation puts the density of states at the Fermi level at 0.4218 states/eV/atom. The energy relative to the elements comes out at -0.344 eV/atom.

=====

(5)
A relaxed CdSnRh crystal. Source: the Alexandria database, functional PBE.

POSCAR file:
```
CdSnRh
1.0
-1.622 1.622 5.678
1.622 -1.622 5.678
1.622 1.622 -5.678
Cd Sn Rh
1 1 1
direct
0.000 0.000 0.000 Cd
0.287 0.287 0.000 Sn
0.655 0.655 0.000 Rh
```

The calculation puts the density of states at the Fermi level at 0.4821 states/eV/atom. The energy relative to the elements comes out at -0.177 eV/atom.

=====

(6)
A relaxed CdSnRh crystal. Source: the Alexandria database, functional PBE.

POSCAR file:
```
CdSnRh
1.0
5.357 0.000 0.000
0.000 4.499 0.000
-1.871 0.000 5.332
Cd Sn Rh
2 2 2
direct
0.120 0.250 0.401 Cd
0.880 0.750 0.599 Cd
0.381 0.750 0.128 Sn
0.619 0.250 0.872 Sn
0.130 0.250 0.900 Rh
0.870 0.750 0.100 Rh
```

The calculation puts the density of states at the Fermi level at 0.4011 states/eV/atom. The energy relative to the elements comes out at -0.280 eV/atom.